1.
Below is a relaxed Sr2GeBr2O2 crystal, with properties calculated at the PBE-GGA level.

Lattice parameters (Å, degrees): 6.413 6.413 7.313 104.65 104.65 38.18
Element x y z (fractional)
Sr1 0.192 0.192 0.285
Sr2 0.808 0.808 0.715
Ge1 0.500 0.500 0.500
Br1 0.113 0.113 0.828
Br2 0.887 0.887 0.172
O1 0.352 0.352 0.578
O2 0.648 0.648 0.422

Computed properties:
Uncorrected formation energy   -1289 kJ/mol of formula units
ρ   4.1 Mg/m³

2.
Below is a relaxed Ca2Ag3Au2 crystal, with properties calculated at the PBE-GGA level.

Lattice parameters (Å, degrees): 5.572 5.572 7.225 107.62 107.62 47.57
Element x y z (fractional)
Ca1 0.135 0.135 0.269
Ca2 0.865 0.865 0.731
Ag1 0.383 0.383 0.067
Ag2 0.500 0.500 0.500
Ag3 0.617 0.617 0.933
Au1 0.157 0.157 0.705
Au2 0.843 0.843 0.295

Computed properties:
Energy of formation   -0.45 eV per atom
Offset from the most stable computed form   0 meV per atom
ρ   8.5 Mg/m³

3.
Below is a relaxed Sr3CrHg crystal, with properties calculated at the PBE-GGA level.

Lattice parameters (Å, degrees): 6.183 6.183 6.183 90.00 90.00 90.00
Element x y z (fractional)
Sr1 0.000 0.000 0.500
Sr2 0.000 0.500 0.000
Sr3 0.500 0.000 0.000
Cr1 0.500 0.500 0.500
Hg1 0.000 0.000 0.000

Computed properties:
Energy of formation   0.38 eV per atom
Offset from the most stable computed form   0 meV per atom
ρ   3.6 Mg/m³

4.
Below is a relaxed ReTcC3 crystal, with properties calculated at the PBE-GGA level.

Lattice parameters (Å, degrees): 3.919 3.919 3.919 90.00 90.00 90.00
Element x y z (fractional)
Re1 0.000 0.000 0.000
Tc1 0.500 0.500 0.500
C1 0.000 0.500 0.500
C2 0.500 0.000 0.500
C3 0.500 0.500 0.000

Computed properties:
Energy of formation   2.59 eV per atom
Offset from the most stable computed form   393 meV per atom
ρ   8.8 Mg/m³

5.
Below is a relaxed LaGeN2 crystal, with properties calculated at the PBE-GGA level.

Lattice parameters (Å, degrees): 6.901 6.901 6.901 27.03 27.03 27.03
Element x y z (fractional)
La1 0.000 0.000 0.000
Ge1 0.500 0.500 0.500
N1 0.117 0.117 0.117
N2 0.883 0.883 0.883

Computed properties:
Uncorrected formation energy   145 kJ/mol of formula units
ρ   6.6 Mg/m³

6.
Below is a relaxed KNaYIn2 crystal, with properties calculated at the PBE-GGA level.

Lattice parameters (Å, degrees): 5.939 5.939 5.869 90.00 90.00 90.00
Element x y z (fractional)
K1 0.000 0.000 0.000
Na1 0.500 0.500 0.500
Y1 0.000 0.000 0.500
In1 0.000 0.500 0.000
In2 0.500 0.000 0.000

Computed properties:
Energy of formation   0.90 eV per atom
ρ   3.1 Mg/m³

7.
Below is a relaxed La3SnN crystal, with properties calculated at the PBE-GGA level.

Lattice parameters (Å, degrees): 3.633 6.478 6.478 94.55 90.00 90.00
Element x y z (fractional)
La1 0.000 0.000 0.000
La2 0.500 0.163 0.504
La3 0.500 0.504 0.163
Sn1 0.500 0.672 0.672
N1 0.000 0.267 0.267

Computed properties:
Uncorrected formation energy   -293 kJ/mol of formula units
ρ   6.0 Mg/m³

8.
Below is a relaxed Cs3MgSc2Se6 crystal, with properties calculated at the PBE-GGA level.

Lattice parameters (Å, degrees): 7.075 7.075 8.615 97.86 97.86 120.02
Element x y z (fractional)
Cs1 0.000 0.000 0.000
Cs2 0.335 0.665 0.000
Cs3 0.665 0.335 0.000
Mg1 0.500 0.500 0.500
Sc1 0.167 0.833 0.500
Sc2 0.833 0.167 0.500
Se1 0.102 0.441 0.323
Se2 0.220 0.220 0.676
Se3 0.441 0.102 0.323
Se4 0.559 0.898 0.677
Se5 0.780 0.780 0.324
Se6 0.898 0.559 0.677

Computed properties:
Uncorrected formation energy   -1549 kJ/mol of formula units
ρ   4.6 Mg/m³

9.
Below is a relaxed AcPaGaO6 crystal, with properties calculated at the PBE-GGA level.

Lattice parameters (Å, degrees): 5.619 5.619 4.893 90.00 90.00 120.00
Element x y z (fractional)
Ac1 0.000 0.000 0.000
Pa1 0.667 0.333 0.500
Ga1 0.333 0.667 0.000
O1 0.012 0.392 0.241
O2 0.012 0.620 0.759
O3 0.380 0.392 0.759
O4 0.380 0.988 0.241
O5 0.608 0.620 0.241
O6 0.608 0.988 0.759

Computed properties:
Uncorrected formation energy   -2255 kJ/mol of formula units
ρ   7.7 Mg/m³

10.
Below is a relaxed Cs3Pm2ZrTe6 crystal, with properties calculated at the PBE-GGA level.

Lattice parameters (Å, degrees): 7.816 7.816 9.340 98.04 98.04 120.01
Element x y z (fractional)
Cs1 0.000 0.000 0.000
Cs2 0.328 0.672 0.000
Cs3 0.672 0.328 0.000
Pm1 0.166 0.834 0.500
Pm2 0.834 0.166 0.500
Zr1 0.500 0.500 0.500
Te1 0.121 0.437 0.309
Te2 0.249 0.249 0.693
Te3 0.437 0.121 0.309
Te4 0.563 0.879 0.691
Te5 0.751 0.751 0.307
Te6 0.879 0.563 0.691

Computed properties:
Uncorrected formation energy   -1426 kJ/mol of formula units
ρ   5.4 Mg/m³

11.
Below is a relaxed Cs3Sr2CaBr9 crystal, with properties calculated at the PBE-GGA level.

Lattice parameters (Å, degrees): 8.393 8.393 10.295 90.00 90.00 120.00
Element x y z (fractional)
Cs1 0.000 0.000 0.000
Cs2 0.333 0.667 0.667
Cs3 0.667 0.333 0.333
Sr1 0.333 0.667 0.173
Sr2 0.667 0.333 0.827
Ca1 0.000 0.000 0.500
Br1 0.000 0.500 0.000
Br2 0.162 0.325 0.339
Br3 0.162 0.838 0.339
Br4 0.325 0.162 0.661
Br5 0.500 0.000 0.000
Br6 0.500 0.500 0.000
Br7 0.675 0.838 0.339
Br8 0.838 0.162 0.661
Br9 0.838 0.675 0.661

Computed properties:
Uncorrected formation energy   -2881 kJ/mol of formula units
ρ   3.5 Mg/m³

12.
Below is a relaxed K2CoRu crystal, with properties calculated at the PBE-GGA level.

Lattice parameters (Å, degrees): 2.733 5.575 5.373 90.00 99.08 90.00
Element x y z (fractional)
K1 0.212 0.000 0.254
K2 0.788 0.000 0.746
Co1 0.000 0.500 0.500
Ru1 0.500 0.500 0.000

Computed properties:
Energy of formation   1.28 eV per atom
Offset from the most stable computed form   583 meV per atom
ρ   4.9 Mg/m³

13.
Below is a relaxed SrHIrS2 crystal, with properties calculated at the PBE-GGA level.

Lattice parameters (Å, degrees): 5.779 5.779 6.038 90.00 90.00 90.00
Element x y z (fractional)
Sr1 0.000 0.000 0.000
H1 0.500 0.500 0.500
Ir1 0.000 0.000 0.500
S1 0.000 0.500 0.000
S2 0.500 0.000 0.000

Computed properties:
ρ   2.8 Mg/m³

14.
Below is a relaxed Cs2LiCu2Cl6 crystal, with properties calculated at the PBE-GGA level.

Lattice parameters (Å, degrees): 7.426 7.426 7.903 113.25 113.25 56.95
Element x y z (fractional)
Cs1 0.212 0.212 0.188
Cs2 0.788 0.788 0.812
Li1 0.000 0.000 0.500
Cu1 0.426 0.426 0.729
Cu2 0.574 0.574 0.271
Cl1 0.214 0.726 0.241
Cl2 0.246 0.246 0.670
Cl3 0.274 0.786 0.759
Cl4 0.726 0.214 0.241
Cl5 0.754 0.754 0.330
Cl6 0.786 0.274 0.759

Computed properties:
Uncorrected formation energy   -1362 kJ/mol of formula units
ρ   3.1 Mg/m³

15.
Below is a relaxed Sm2GaNi4P3 crystal, with properties calculated at the PBE-GGA level.

Lattice parameters (Å, degrees): 3.956 3.956 9.629 90.00 90.00 90.00
Element x y z (fractional)
Sm1 0.000 0.500 0.243
Sm2 0.500 0.000 0.757
Ga1 0.000 0.000 0.500
Ni1 0.000 0.000 0.000
Ni2 0.000 0.500 0.634
Ni3 0.500 0.000 0.366
Ni4 0.500 0.500 0.000
P1 0.000 0.500 0.870
P2 0.500 0.000 0.130
P3 0.500 0.500 0.500

Computed properties:
Energy of formation   -0.93 eV per atom
ρ   7.7 Mg/m³

16.
Below is a relaxed ZrBRu3 crystal, with properties calculated at the PBE-GGA level.

Lattice parameters (Å, degrees): 3.892 5.650 5.650 52.88 90.00 90.00
Element x y z (fractional)
Zr1 0.000 0.000 0.000
B1 0.500 0.266 0.266
Ru1 0.000 0.000 0.472
Ru2 0.000 0.472 0.000
Ru3 0.500 0.810 0.810

Computed properties:
Energy of formation   0.65 eV per atom
ρ   6.8 Mg/m³

One value per record, in order, for total energy: -0.363; -0.234; -0.192; -0.552; -0.454; -0.145; -0.443; -0.329; -0.570; -0.332; -0.259; -0.247; -0.207; -0.247; -0.449; -0.585 Ry per atom.